Record 1
Below is a crystal of LiSnP4O12 relaxed with PBEsol, with properties calculated at the meta-GGA SCAN level.

```
72
Lattice="7.311 0.000 0.000 0.000 12.992 0.000 -6.776 0.000 9.549" Properties=species:S:1:pos:R:3 pbc="T T T"
Li 0.866 2.600 0.888
Li -2.522 3.896 5.662
Li 3.057 9.096 3.887
Li -0.331 10.392 8.661
Sn -0.016 9.377 4.921
Sn 3.372 10.111 0.147
Sn -2.838 2.881 9.403
Sn 0.550 3.615 4.628
P -1.516 1.453 2.187
P -4.904 5.043 6.962
P -3.962 7.866 6.911
P -0.574 11.622 2.137
P 0.927 8.225 1.875
P -2.461 11.263 6.649
P -1.781 1.121 6.791
P 1.607 5.375 2.016
P -1.073 7.617 7.533
P 2.315 11.871 2.758
P 2.995 1.729 2.900
P -0.393 4.767 7.674
P 1.109 1.370 7.412
P 4.497 5.126 2.638
P 5.439 7.949 2.588
P 2.051 11.539 7.362
O -5.758 1.787 8.759
O -2.370 4.709 3.984
O -4.751 6.561 7.407
O -1.363 12.927 2.633
O -0.645 8.331 1.634
O -4.033 11.158 6.408
O -1.450 8.037 4.037
O -4.838 11.451 8.812
O -0.287 2.234 2.560
O -3.675 4.262 7.334
O -4.093 8.840 8.051
O -0.705 10.648 3.277
O 1.292 6.786 1.288
O -2.096 12.702 6.063
O 1.527 9.282 0.995
O -1.861 10.206 5.770
O -2.467 7.286 6.834
O 0.921 12.203 2.059
O -1.664 2.154 5.728
O 1.724 4.343 0.954
O -2.809 1.318 7.886
O 0.579 5.178 3.111
O 1.253 8.265 3.350
O -2.135 11.223 8.125
O 2.670 1.769 1.425
O -0.719 4.727 6.199
O -0.044 7.814 6.438
O 3.344 11.674 1.663
O -1.189 8.650 8.595
O 2.199 10.839 3.821
O -0.387 0.790 7.490
O 3.001 5.707 2.715
O 2.396 2.786 3.779
O -0.992 3.710 8.554
O 2.630 0.290 3.486
O -0.758 6.206 8.261
O 1.240 2.344 6.272
O 4.628 4.152 1.498
O 4.210 8.730 2.215
O 0.822 10.758 6.990
O 5.373 1.541 0.738
O 1.984 4.955 5.512
O 4.567 1.834 3.141
O 1.179 4.662 7.916
O 1.897 0.065 6.917
O 5.286 6.431 2.142
O 2.905 8.283 5.565
O 6.293 11.205 0.791
```

Output
Total moment (μB per cell): 4.0
Electronic total energy (eV per cell): -780.11

***

Record 2
Below is a crystal of LiSnPO4 relaxed with PBEsol, with properties calculated at the meta-GGA SCAN level.

```
28
Lattice="4.823 0.000 0.000 0.000 4.896 0.000 0.000 0.000 15.202" Properties=species:S:1:pos:R:3 pbc="T T T"
Li 0.791 0.234 7.579
Li 1.621 4.663 15.180
Li 3.202 2.215 7.623
Li 4.032 2.682 0.022
Sn 1.159 2.167 4.918
Sn 1.253 2.729 12.519
Sn 3.570 0.281 10.284
Sn 3.664 4.615 2.683
P 0.825 2.712 9.276
P 1.586 2.184 1.675
P 3.237 4.632 5.926
P 3.998 0.264 13.527
O 0.057 2.187 1.688
O 0.214 1.979 8.083
O 0.269 2.023 10.596
O 0.355 4.208 9.272
O 2.056 0.689 1.671
O 2.142 2.873 2.995
O 2.197 2.918 0.482
O 2.355 2.709 9.289
O 2.468 0.261 13.513
O 2.626 0.469 7.119
O 2.681 0.425 4.606
O 2.767 3.137 5.930
O 4.468 1.760 13.531
O 4.554 4.471 12.207
O 4.609 4.427 14.720
O 4.766 4.635 5.913
```

Output
Total moment (μB per cell): 0.0
DOS at the Fermi energy (states/eV per atom): 0.00
Electronic total energy (eV per cell): -357.08

***

Record 3
Below is a crystal of LiSnP4O12 relaxed with PBEsol, with properties calculated at the meta-GGA SCAN level.

```
72
Lattice="9.404 0.000 0.000 0.000 9.404 0.000 0.000 0.000 9.352" Properties=species:S:1:pos:R:3 pbc="T T T"
Li 0.000 0.000 0.000
Li 0.000 4.702 4.676
Li 4.702 0.000 4.676
Li 4.702 4.702 0.000
Sn 2.351 2.351 0.000
Sn 2.351 2.351 4.676
Sn 7.053 7.053 0.000
Sn 7.053 7.053 4.676
P 0.242 7.053 2.338
P 0.306 7.053 7.014
P 2.351 4.944 2.338
P 2.351 5.008 7.014
P 2.351 9.098 7.014
P 2.351 9.162 2.338
P 4.396 7.053 7.014
P 4.460 7.053 2.338
P 4.944 2.351 7.014
P 5.008 2.351 2.338
P 7.053 0.242 7.014
P 7.053 0.306 2.338
P 7.053 4.396 2.338
P 7.053 4.460 7.014
P 9.098 2.351 2.338
P 9.162 2.351 7.014
O 0.423 1.645 1.225
O 0.423 3.057 3.451
O 0.487 1.731 5.863
O 0.487 2.971 8.166
O 1.260 5.961 2.983
O 1.260 8.144 1.694
O 1.306 6.008 7.713
O 1.306 8.097 6.316
O 1.645 0.423 8.127
O 1.645 4.279 5.901
O 1.731 0.487 3.489
O 1.731 4.215 1.187
O 2.971 0.487 1.187
O 2.971 4.215 3.489
O 3.057 0.423 5.901
O 3.057 4.279 8.127
O 3.396 6.008 6.316
O 3.396 8.097 7.713
O 3.442 5.961 1.694
O 3.442 8.144 2.983
O 4.215 1.731 8.166
O 4.215 2.971 5.863
O 4.279 1.645 3.451
O 4.279 3.057 1.225
O 5.125 6.347 8.127
O 5.125 7.758 5.901
O 5.189 6.433 3.489
O 5.189 7.673 1.187
O 5.961 1.260 6.370
O 5.961 3.442 7.659
O 6.008 1.306 1.639
O 6.008 3.396 3.037
O 6.347 5.125 1.225
O 6.347 8.981 3.451
O 6.433 5.189 5.863
O 6.433 8.916 8.166
O 7.673 5.189 8.166
O 7.673 8.916 5.863
O 7.758 5.125 3.451
O 7.758 8.981 1.225
O 8.097 1.306 3.037
O 8.097 3.396 1.639
O 8.144 1.260 7.659
O 8.144 3.442 6.370
O 8.916 6.433 1.187
O 8.916 7.673 3.489
O 8.981 6.347 5.901
O 8.981 7.758 8.127
```

Output
Total moment (μB per cell): 4.0
Electronic total energy (eV per cell): -779.45

***

Record 4
Below is a crystal of LiSnP4O12 relaxed with PBEsol, with properties calculated at the meta-GGA SCAN level.

```
36
Lattice="7.390 0.000 0.000 -2.709 7.118 0.000 -3.082 -2.324 9.236" Properties=species:S:1:pos:R:3 pbc="T T T"
Li 0.826 -0.451 2.584
Li 0.773 5.245 6.652
Sn -1.541 -1.162 4.618
Sn -1.354 3.559 0.000
P -1.849 1.677 2.839
P -1.507 3.945 4.678
P 1.388 1.776 0.327
P 0.293 0.372 7.537
P 1.306 4.422 1.700
P 0.211 3.018 8.910
P 3.106 0.848 4.558
P 3.448 3.117 6.398
O -1.114 0.372 2.795
O -3.738 2.443 7.742
O -2.886 -0.019 8.756
O -2.326 4.816 3.757
O -2.489 3.247 5.788
O -1.062 2.627 3.844
O 1.284 0.479 0.998
O -0.185 4.523 1.363
O -0.080 0.022 6.155
O -0.436 -0.586 8.588
O 1.823 2.948 1.353
O -0.328 4.451 5.388
O 1.927 0.342 3.848
O -0.224 1.845 7.883
O 2.035 5.380 0.649
O 1.679 4.772 3.082
O 1.783 0.271 7.873
O 0.315 4.314 8.238
O 2.661 2.167 5.392
O 4.088 1.547 3.448
O 3.925 -0.023 5.480
O 4.485 4.813 0.481
O 5.337 2.350 1.495
O 2.713 4.422 6.442
```

Output
Total moment (μB per cell): 0.0
DOS at the Fermi energy (states/eV per atom): 0.00
Electronic total energy (eV per cell): -391.10

***

Record 5
Below is a crystal of Li4SnP6O18 relaxed with PBEsol, with properties calculated at the meta-GGA SCAN level.

```
29
Lattice="7.278 0.000 0.000 -1.081 7.287 0.000 -2.109 -3.227 6.362" Properties=species:S:1:pos:R:3 pbc="T T T"
Li 0.000 0.000 0.000
Li -0.959 1.487 2.011
Li 1.788 -0.489 2.738
Li 3.089 -0.953 5.511
Sn 4.005 4.373 2.913
P -1.276 -0.246 4.772
P -0.274 4.314 0.683
P 0.126 4.056 4.355
P 1.819 2.399 1.031
P 3.198 6.833 0.647
P 2.202 2.106 4.837
O -1.909 1.051 5.489
O -0.707 0.147 3.460
O -0.475 5.735 1.079
O -1.220 3.864 3.735
O 0.890 1.242 1.279
O -0.076 -0.621 5.798
O 1.076 3.788 1.411
O -0.082 3.945 5.951
O 0.934 2.688 4.031
O 2.044 -2.035 4.046
O 3.149 2.411 1.702
O 3.633 -0.765 1.944
O 2.393 0.682 4.477
O 3.776 5.445 0.002
O 5.379 0.569 0.543
O 3.350 3.093 4.692
O 4.999 -1.388 4.832
O 5.919 3.290 0.874
```

Output
Total moment (μB per cell): 0.0
DOS at the Fermi energy (states/eV per atom): 0.00
Electronic total energy (eV per cell): -289.22

***

Record 6
Below is a crystal of LiSnPO4 relaxed with PBEsol, with properties calculated at the meta-GGA SCAN level.

```
42
Lattice="7.228 4.173 3.135 -7.228 4.173 3.135 0.000 -8.347 3.135" Properties=species:S:1:pos:R:3 pbc="T T T"
Li -1.230 -5.618 3.135
Li -4.251 3.875 3.135
Li -2.910 0.054 4.718
Li 1.409 -2.547 4.718
Li 1.502 2.494 4.718
Li 5.481 1.744 3.135
Sn -5.901 1.664 4.589
Sn 1.510 -5.942 4.589
Sn -1.807 -2.360 6.300
Sn -1.141 2.745 6.300
Sn 2.947 -0.384 6.300
Sn 4.391 4.279 4.589
P -5.338 -1.780 4.739
P -1.333 -2.654 3.107
P -1.632 2.481 3.107
P 2.964 0.172 3.107
P 4.211 -3.733 4.739
P 1.127 5.513 4.739
O -1.116 -1.892 1.771
O -6.677 -1.678 5.524
O -4.771 -0.371 4.457
O -1.080 1.913 1.771
O -4.388 -2.562 5.710
O -1.994 -1.714 4.163
O -2.749 1.576 3.641
O 0.009 -3.169 3.641
O -2.260 -4.466 5.947
O 2.197 -0.021 1.771
O 2.706 -3.946 4.457
O -0.488 2.584 4.163
O -2.286 0.660 6.518
O 2.482 -0.870 4.163
O -2.738 4.190 5.947
O 2.739 1.592 3.641
O 0.572 -2.309 6.518
O 4.792 -4.944 5.524
O 2.065 4.317 4.457
O -0.025 5.081 5.710
O 4.413 -2.519 5.710
O 1.714 1.650 6.518
O 1.885 6.622 5.524
O 4.997 0.276 5.947
```

Output
Total moment (μB per cell): 0.0
DOS at the Fermi energy (states/eV per atom): 0.00
Electronic total energy (eV per cell): -532.48

***

Record 7
Below is a crystal of Li3Sn2P5O16 relaxed with PBEsol, with properties calculated at the meta-GGA SCAN level.

```
52
Lattice="5.193 0.000 0.000 0.000 7.433 0.000 -1.616 0.000 18.080" Properties=species:S:1:pos:R:3 pbc="T T T"
Li -0.404 0.192 4.520
Li -1.212 7.241 13.560
Li 0.091 2.759 17.311
Li 0.899 4.674 8.271
Li 2.678 2.759 9.810
Li 3.486 4.674 0.769
Sn 0.611 0.981 7.623
Sn -0.197 6.452 16.663
Sn 3.774 0.981 1.418
Sn 2.966 6.452 10.458
P 0.049 1.191 10.849
P 0.857 6.243 1.808
P 0.893 3.487 2.291
P 0.085 3.947 11.331
P 2.193 1.779 4.520
P 1.384 5.654 13.560
P 3.492 3.487 6.750
P 2.684 3.947 15.790
P 2.720 1.191 16.272
P 3.528 6.243 7.232
O -1.503 1.515 17.412
O -0.695 5.919 8.371
O -0.291 3.075 7.080
O -1.099 4.358 16.120
O -0.480 0.005 11.678
O 0.329 7.428 2.638
O 0.021 2.449 11.895
O 0.829 4.984 2.855
O 1.330 2.774 3.646
O 0.522 4.660 12.686
O 1.207 1.000 5.347
O 0.399 6.433 14.387
O 1.937 3.320 1.219
O 1.129 4.113 10.259
O 1.498 1.092 10.400
O 2.306 6.342 1.360
O 1.271 1.092 16.720
O 2.079 6.342 7.680
O 2.448 3.320 7.821
O 1.640 4.113 16.861
O 3.178 1.000 3.694
O 2.370 6.433 12.734
O 3.055 2.774 5.394
O 2.247 4.660 14.435
O 2.748 2.449 15.226
O 3.556 4.984 6.186
O 3.249 0.005 15.442
O 4.057 7.428 6.402
O 4.676 3.075 1.960
O 3.868 4.358 11.000
O 4.272 1.515 9.709
O 5.080 5.919 0.669
```

Output
Total moment (μB per cell): 0.0
DOS at the Fermi energy (states/eV per atom): 0.00
Electronic total energy (eV per cell): -580.90

***

Record 8
Below is a crystal of LiSnP4O12 relaxed with PBEsol, with properties calculated at the meta-GGA SCAN level.

```
36
Lattice="8.979 -6.339 0.000 8.979 6.339 0.000 -1.647 0.000 5.411" Properties=species:S:1:pos:R:3 pbc="T T T"
Li 1.431 0.000 1.861
Li 14.881 0.000 3.550
Sn 4.489 3.170 0.000
Sn 4.489 -3.170 0.000
P 6.732 3.451 2.473
P 4.567 1.443 2.940
P 9.580 3.451 2.938
P 4.567 -1.443 2.940
P 11.744 1.443 2.470
P 6.732 -3.451 2.473
P 11.744 -1.443 2.470
P 9.580 -3.451 2.938
O 6.632 4.732 3.202
O 6.438 3.382 0.990
O 4.002 1.654 1.551
O 3.562 1.580 4.054
O 5.815 2.360 3.244
O 9.680 4.732 2.209
O 8.156 2.749 2.705
O 5.276 0.000 3.027
O 9.874 3.382 4.421
O 4.002 -1.654 1.551
O 3.562 -1.580 4.054
O 10.496 2.360 2.166
O 5.815 -2.360 3.244
O 12.750 1.580 1.356
O 12.310 1.654 3.859
O 6.438 -3.382 0.990
O 11.036 0.000 2.384
O 8.156 -2.749 2.705
O 6.632 -4.732 3.202
O 10.496 -2.360 2.166
O 12.750 -1.580 1.356
O 12.310 -1.654 3.859
O 9.874 -3.382 4.421
O 9.680 -4.732 2.209
```

Output
Total moment (μB per cell): 0.0
DOS at the Fermi energy (states/eV per atom): 0.09
Electronic total energy (eV per cell): -388.82

***

Number 1: formation energy (no corrections) -2.24 eV/atom. Number 2: formation energy (no corrections) -2.23 eV/atom. Number 3: formation energy (no corrections) -2.23 eV/atom. Number 4: formation energy (no corrections) -2.27 eV/atom. Number 5: formation energy (no corrections) -2.39 eV/atom. Number 6: formation energy (no corrections) -2.16 eV/atom. Number 7: formation energy (no corrections) -2.30 eV/atom. Number 8: formation energy (no corrections) -2.21 eV/atom.